The following is a DFT calculation (SCAN) of a crystal of Tc2TeRhW relaxed with PBEsol.

## Properties
The value obtained for the uncorrected formation energy is 2.110 eV/atom. As for the total energy: -40.056 eV per atom. The symmetry is P4/mmm.

abc: 4.5993 4.6972 4.6972
angles: 90.00 90.00 90.00
Last column: nearest neighbours and their distance in Å.
Positions (direct):
1 Te 0.0000 0.0000 0.0000  2 Rh 2.30, 4 Tc 2.35
2 Tc 0.0000 0.5000 0.0000  2 Te 2.35
3 Tc 0.0000 0.0000 0.5000  2 Te 2.35
4 W 0.5000 0.5000 0.5000  8 Tc 3.29, 4 Rh 3.32
5 Rh 0.5000 0.0000 0.0000  2 Te 2.30


The following is a DFT calculation (SCAN) of a crystal of Tm2AlNi2 relaxed with PBEsol.

## Properties
The formation energy comes out at -0.63 eV/atom. As for the total energy: -29.382 eV per atom. The symmetry is Immm.

abc: 4.1188 5.2231 5.2231
angles: 60.44 66.78 66.78
Last column: nearest neighbours and their distance in Å.
Positions (direct):
1 Al 0.0000 0.0000 0.0000  4 Ni 2.49
2 Ni 0.5000 0.2667 0.7333  1 Ni 2.45, 2 Al 2.49
3 Tm 0.7977 0.7023 0.7023  6 Ni 2.77-2.90, 2 Al 3.09
4 Ni 0.5000 0.7333 0.2667  1 Ni 2.45, 2 Al 2.49
5 Tm 0.2023 0.2977 0.2977  6 Ni 2.77-2.90, 2 Al 3.09


The following is a DFT calculation (SCAN) of a crystal of BeTcPt2 relaxed with PBEsol.

## Properties
The formation energy comes out at -0.32 eV/atom. As for the total energy: -45.274 eV per atom. The symmetry is R-3m.

abc: 2.7158 2.7158 8.3811
angles: 80.68 80.68 60.00
Last column: nearest neighbours and their distance in Å.
Positions (direct):
1 Pt 0.7416 0.7416 0.7752  3 Be 2.43, 6 Pt 2.72
2 Pt 0.2584 0.2584 0.2248  3 Be 2.43, 6 Pt 2.72
3 Be 0.0000 0.0000 0.0000  6 Pt 2.43, 6 Be 2.72
4 Tc 0.5000 0.5000 0.5000  6 Tc 2.72, 6 Pt 2.76


The following is a DFT calculation (SCAN) of a crystal of MnBrO2 relaxed with PBEsol.

## Properties
The value obtained for the uncorrected formation energy is -1.138 eV/atom. As for the total energy: -13.682 eV per atom. The symmetry is R-3m.

abc: 3.2159 3.2159 6.2099
angles: 74.99 74.99 60.00
Last column: nearest neighbours and their distance in Å.
Positions (direct):
1 O 0.8849 0.8849 0.3452  1 Br 2.05, 3 Mn 2.07
2 Br 0.0000 0.0000 0.0000  2 O 2.05
3 O 0.1151 0.1151 0.6548  1 Br 2.05, 3 Mn 2.07
4 Mn 0.5000 0.5000 0.5000  6 O 2.07


The following is a DFT calculation (SCAN) of a crystal of HgOsRu3 relaxed with PBEsol.

## Properties
The formation energy comes out at 3.18 eV/atom. As for the total energy: -45.723 eV per atom. The symmetry is Pm-3m.

abc: 4.7079 4.7079 4.7079
angles: 90.00 90.00 90.00
Last column: nearest neighbours and their distance in Å.
Positions (direct):
1 Ru 0.0000 0.0000 0.5000  2 Hg 2.35
2 Ru 0.5000 0.0000 0.0000  2 Hg 2.35
3 Os 0.5000 0.5000 0.5000  12 Ru 3.33
4 Hg 0.0000 0.0000 0.0000  6 Ru 2.35
5 Ru 0.0000 0.5000 0.0000  2 Hg 2.35


The following is a DFT calculation (SCAN) of a crystal of V4Zn5 relaxed with PBEsol.

## Properties
The formation energy comes out at -0.10 eV/atom. As for the total energy: -15.378 eV per atom. The symmetry is I4/mmm.

abc: 3.1651 6.3588 6.3588
angles: 86.45 75.59 75.59
Last column: nearest neighbours and their distance in Å.
Positions (direct):
1 V 0.0000 0.6573 0.3427  5 V 2.50-2.74, 4 Zn 2.64
2 Zn 0.3305 0.0000 0.3389  4 Zn 2.54-2.62, 4 V 2.64
3 V 0.3427 0.6573 0.6573  5 V 2.50-2.74, 4 Zn 2.64
4 Zn 0.3305 0.3389 0.0000  4 Zn 2.54-2.62, 4 V 2.64
5 V 0.0000 0.3427 0.6573  5 V 2.50-2.74, 4 Zn 2.64
6 V 0.6573 0.3427 0.3427  5 V 2.50-2.74, 4 Zn 2.64
7 Zn 0.6695 0.0000 0.6611  4 Zn 2.54-2.62, 4 V 2.64
8 Zn 0.6695 0.6611 0.0000  4 Zn 2.54-2.62, 4 V 2.64
9 Zn 0.0000 0.0000 0.0000  8 Zn 2.62


The following is a DFT calculation (SCAN) of a crystal of MnNiOs relaxed with PBEsol.

## Properties
The formation energy comes out at 0.38 eV/atom. As for the total energy: -35.051 eV per atom. The symmetry is F-43m.

abc: 3.8522 3.8522 3.8522
angles: 60.00 60.00 60.00
Last column: nearest neighbours and their distance in Å.
Positions (direct):
1 Ni 0.0000 0.0000 0.0000  4 Mn 2.36
2 Mn 0.2500 0.2500 0.2500  4 Os 2.36, 4 Ni 2.36
3 Os 0.5000 0.5000 0.5000  4 Mn 2.36


The following is a DFT calculation (SCAN) of a crystal of CaScRh4 relaxed with PBEsol.

## Properties
The formation energy comes out at -0.62 eV/atom. As for the total energy: -27.121 eV per atom. The symmetry is F-43m.

abc: 5.1848 5.1848 5.1848
angles: 60.00 60.00 60.00
Last column: nearest neighbours and their distance in Å.
Positions (direct):
1 Rh 0.3752 0.3752 0.8743  6 Rh 2.59-2.60
2 Sc 0.7500 0.7500 0.7500  12 Rh 3.04, 4 Ca 3.18
3 Ca 0.0000 0.0000 0.0000  12 Rh 3.04, 4 Sc 3.18
4 Rh 0.3752 0.3752 0.3752  6 Rh 2.59-2.60
5 Rh 0.3752 0.8743 0.3752  6 Rh 2.59-2.60
6 Rh 0.8743 0.3752 0.3752  6 Rh 2.59-2.60


The following is a DFT calculation (SCAN) of a crystal of DyAl2 relaxed with PBEsol.

## Properties
The formation energy comes out at -0.55 eV/atom. As for the total energy: -21.649 eV per atom. The symmetry is Fd-3m.

abc: 5.5073 5.5073 5.5073
angles: 60.00 60.00 60.00
Last column: nearest neighbours and their distance in Å.
Positions (direct):
1 Al 0.1250 0.1250 0.6250  6 Al 2.75
2 Al 0.1250 0.1250 0.1250  6 Al 2.75
3 Al 0.6250 0.1250 0.1250  6 Al 2.75
4 Al 0.1250 0.6250 0.1250  6 Al 2.75
5 Dy 0.5000 0.5000 0.5000  12 Al 3.23, 4 Dy 3.37
6 Dy 0.7500 0.7500 0.7500  12 Al 3.23, 4 Dy 3.37


The following is a DFT calculation (SCAN) of a crystal of Sc2InCl relaxed with PBEsol.

## Properties
The value obtained for the polymorph energy (0 for the lowest one) is 95 meV per atom. The value obtained for the uncorrected formation energy is -0.837 eV/atom. As for the total energy: -18.297 eV per atom. The symmetry is Pmm2.

abc: 3.4083 4.5186 5.5816
angles: 90.00 90.00 90.00
Last column: nearest neighbours and their distance in Å.
Positions (direct):
1 Sc 0.0000 0.0000 0.8842  2 Cl 2.73-2.85, 4 In 2.83
2 In 0.5000 0.5000 0.8713  6 Sc 2.79-2.83
3 Cl 0.0000 0.0000 0.3734  6 Sc 2.73-2.85
4 Sc 0.5000 0.5000 0.3710  2 In 2.79, 4 Cl 2.83


The following is a DFT calculation (SCAN) of a crystal of SrLi4 relaxed with PBEsol.

## Properties
The formation energy comes out at 0.06 eV/atom. As for the total energy: -6.305 eV per atom. The symmetry is I-43m.

abc: 8.9311 8.9311 8.9311
angles: 109.47 109.47 109.47
Last column: nearest neighbours and their distance in Å.
Positions (direct):
1 Li 0.0000 0.0000 0.1968  6 Li 2.87-3.01
2 Li 0.5000 0.2500 0.7500  4 Li 2.98
3 Li 0.3549 0.0000 0.3549  7 Li 2.98-3.01
4 Li 0.5000 0.7500 0.2500  4 Li 2.98
5 Li 0.0000 0.6451 0.6451  7 Li 2.98-3.01
6 Li 0.2500 0.5000 0.7500  4 Li 2.98
7 Sr 0.5594 0.0000 0.0000  4 Li 3.24-3.50
8 Li 0.1968 0.0000 0.0000  6 Li 2.87-3.01
9 Sr 0.0000 0.5594 0.0000  4 Li 3.24-3.50
10 Sr 0.4406 0.4406 0.4406  4 Li 3.24-3.50
11 Li 0.2500 0.7500 0.5000  4 Li 2.98
12 Li 0.6451 0.6451 0.0000  7 Li 2.98-3.01
13 Sr 0.0000 0.0000 0.5594  4 Li 3.24-3.50
14 Li 0.8032 0.8032 0.8032  6 Li 2.87-3.01
15 Li 0.7500 0.5000 0.2500  4 Li 2.98
16 Li 0.3549 0.3549 0.0000  7 Li 2.98-3.01
17 Li 0.6451 0.0000 0.6451  7 Li 2.98-3.01
18 Li 0.0000 0.3549 0.3549  7 Li 2.98-3.01
19 Li 0.0000 0.1968 0.0000  6 Li 2.87-3.01
20 Li 0.7500 0.2500 0.5000  4 Li 2.98


The following is a DFT calculation (SCAN) of a crystal of AgSb2 relaxed with PBEsol.

## Properties
The value obtained for the uncorrected formation energy is 0.273 eV/atom. As for the total energy: -35.023 eV per atom. The symmetry is Cmcm.

abc: 5.4497 5.4497 5.4800
angles: 90.00 90.00 120.03
Last column: nearest neighbours and their distance in Å.
Positions (direct):
1 Ag 0.2517 0.2517 0.7500  10 Sb 3.14-3.16
2 Sb 0.9180 0.5839 0.7500  5 Sb 3.14-3.16, 5 Ag 3.14-3.16
3 Sb 0.4161 0.0820 0.2500  5 Sb 3.14-3.16, 5 Ag 3.14-3.16
4 Sb 0.5839 0.9180 0.7500  5 Sb 3.14-3.16, 5 Ag 3.14-3.16
5 Ag 0.7483 0.7483 0.2500  10 Sb 3.14-3.16
6 Sb 0.0820 0.4161 0.2500  5 Sb 3.14-3.16, 5 Ag 3.14-3.16